Compound: Cd2BiPd4Pb
Source: Alexandria via LeMat-Bulk
Functional: PBE-GGA
Structure: relaxed

a b c (Å): 4.770 4.770 8.284
angles (deg): 73.27 73.27 60.00
Fractional coordinates of all 8 atoms:
Cd (0.749, 0.749, 0.752)
Cd (0.251, 0.251, 0.248)
Bi (0.500, 0.500, 0.500)
Pd (0.375, 0.375, 0.874)
Pd (0.875, 0.875, 0.375)
Pd (0.125, 0.125, 0.625)
Pd (0.625, 0.625, 0.126)
Pb (0.000, 0.000, 0.000)

Output
The total energy is -4.058 eV/atom. The value obtained for the mass density is 11.51 g cm⁻³. The calculation puts the formation energy at -285 meV/atom.

***

Compound: CdBiPdPb
Source: Alexandria via LeMat-Bulk
Functional: PBE-GGA
Structure: relaxed

a b c (Å): 5.164 5.164 5.164
angles (deg): 60.00 60.00 60.00
Fractional coordinates of all 4 atoms:
Pb (0.000, 0.000, 0.000)
Bi (0.500, 0.500, 0.500)
Pd (0.250, 0.250, 0.250)
Cd (0.750, 0.750, 0.750)

Output
The total energy is -3.452 eV/atom. The value obtained for the mass density is 10.83 g cm⁻³. The calculation puts the formation energy at -27 meV/atom.

***

Compound: CdBiPdPb
Source: Alexandria via LeMat-Bulk
Functional: PBE-GGA
Structure: relaxed

a b c (Å): 4.641 4.641 6.270
angles (deg): 68.28 68.28 60.00
Fractional coordinates of all 4 atoms:
Cd (0.246, 0.246, 0.263)
Bi (0.028, 0.028, 0.917)
Pd (0.635, 0.635, 0.096)
Pb (0.818, 0.818, 0.546)

Output
The total energy is -3.516 eV/atom. The value obtained for the mass density is 9.97 g cm⁻³. The calculation puts the formation energy at -92 meV/atom.

***

Compound: CdBiPdPb2
Source: Alexandria via LeMat-Bulk
Functional: PBE-GGA
Structure: relaxed

a b c (Å): 5.391 5.205 5.391
angles (deg): 90.00 90.00 90.00
Fractional coordinates of all 5 atoms:
Pb (0.000, 0.000, 0.500)
Pb (0.500, 0.000, 0.000)
Bi (0.500, 0.500, 0.500)
Pd (0.000, 0.000, 0.000)
Cd (0.000, 0.500, 0.000)

Output
The total energy is -3.419 eV/atom. The value obtained for the mass density is 9.25 g cm⁻³. The calculation puts the formation energy at 62 meV/atom.

***

Compound: PmCdBiPb
Source: Alexandria via LeMat-Bulk
Functional: PBE-GGA
Structure: relaxed

a b c (Å): 5.528 5.528 5.528
angles (deg): 60.00 60.00 60.00
Fractional coordinates of all 4 atoms:
Pb (0.500, 0.500, 0.500)
Cd (0.750, 0.750, 0.750)
Bi (0.250, 0.250, 0.250)
Pm (0.000, 0.000, 0.000)

Output
The total energy is -3.536 eV/atom. The value obtained for the mass density is 9.37 g cm⁻³. The calculation puts the formation energy at -223 meV/atom.

***

Compound: PuCdBiPb
Source: Alexandria via LeMat-Bulk
Functional: PBE-GGA
Structure: relaxed

a b c (Å): 4.500 4.827 5.063
angles (deg): 90.00 90.00 90.00
Fractional coordinates of all 4 atoms:
Pu (0.500, 0.500, 0.000)
Cd (0.500, 0.000, 0.500)
Bi (0.000, 0.000, 0.000)
Pb (0.000, 0.500, 0.500)

Output
The total energy is -5.919 eV/atom. The value obtained for the mass density is 11.67 g cm⁻³. The calculation puts the formation energy at -210 meV/atom.

***

Compound: PuCdBiPb
Source: Alexandria via LeMat-Bulk
Functional: PBE-GGA
Structure: relaxed

a b c (Å): 5.501 5.501 5.501
angles (deg): 60.00 60.00 60.00
Fractional coordinates of all 4 atoms:
Pb (0.500, 0.500, 0.500)
Cd (0.750, 0.750, 0.750)
Bi (0.250, 0.250, 0.250)
Pu (0.000, 0.000, 0.000)

Output
The total energy is -5.743 eV/atom. The value obtained for the mass density is 10.90 g cm⁻³. The calculation puts the formation energy at -34 meV/atom.

***

Compound: RbCdBiPb
Source: Alexandria via LeMat-Bulk
Functional: PBE-GGA
Structure: relaxed

a b c (Å): 4.593 4.593 14.962
angles (deg): 90.00 90.00 90.00
Fractional coordinates of all 8 atoms:
Rb (0.750, 0.750, 0.261)
Rb (0.250, 0.250, 0.739)
Cd (0.750, 0.250, 0.000)
Cd (0.250, 0.750, 0.000)
Bi (0.750, 0.750, 0.868)
Bi (0.250, 0.250, 0.132)
Pb (0.250, 0.750, 0.500)
Pb (0.750, 0.250, 0.500)

Output
The total energy is -2.487 eV/atom. The value obtained for the mass density is 6.46 g cm⁻³. The calculation puts the formation energy at -119 meV/atom.

***

Compound: Rb2CdBi4Pb3
Source: Alexandria via LeMat-Bulk
Functional: PBE-GGA
Structure: relaxed

a b c (Å): 5.356 5.356 13.815
angles (deg): 90.00 90.00 90.00
Fractional coordinates of all 10 atoms:
Rb (0.500, 0.000, 0.254)
Rb (0.000, 0.500, 0.746)
Cd (0.500, 0.500, 0.500)
Bi (0.500, 0.500, 0.000)
Bi (0.000, 0.000, 0.000)
Bi (0.500, 0.000, 0.625)
Bi (0.000, 0.500, 0.375)
Pb (0.000, 0.000, 0.500)
Pb (0.500, 0.000, 0.869)
Pb (0.000, 0.500, 0.131)

Output
The total energy is -3.098 eV/atom. The value obtained for the mass density is 7.29 g cm⁻³. The calculation puts the formation energy at -148 meV/atom.

***

Compound: Rb2CdBi2Pb
Source: Alexandria via LeMat-Bulk
Functional: PBE-GGA
Structure: relaxed

a b c (Å): 7.478 7.600 10.159
angles (deg): 111.97 111.59 90.00
Fractional coordinates of all 12 atoms:
Rb (0.412, 0.168, 0.337)
Rb (0.588, 0.832, 0.663)
Rb (0.075, 0.332, 0.663)
Rb (0.925, 0.668, 0.337)
Cd (0.500, 0.750, 0.000)
Cd (0.500, 0.250, 0.000)
Bi (0.831, 0.103, 0.206)
Bi (0.375, 0.603, 0.206)
Bi (0.625, 0.397, 0.794)
Bi (0.169, 0.897, 0.794)
Pb (0.000, 0.750, 0.000)
Pb (0.000, 0.250, 0.000)

Output
The total energy is -2.671 eV/atom. The value obtained for the mass density is 6.14 g cm⁻³. The calculation puts the formation energy at -284 meV/atom.

***

Compound: Rb3Cd2Bi4Pb2
Source: Alexandria via LeMat-Bulk
Functional: PBE-GGA
Structure: relaxed

a b c (Å): 5.178 5.178 20.211
angles (deg): 90.00 90.00 120.00
Fractional coordinates of all 11 atoms:
Rb (0.000, 0.000, 0.729)
Rb (0.000, 0.000, 0.000)
Rb (0.000, 0.000, 0.271)
Cd (0.667, 0.333, 0.864)
Cd (0.333, 0.667, 0.136)
Bi (0.667, 0.333, 0.137)
Bi (0.333, 0.667, 0.863)
Bi (0.667, 0.333, 0.605)
Bi (0.333, 0.667, 0.395)
Pb (0.667, 0.333, 0.445)
Pb (0.333, 0.667, 0.555)

Output
The total energy is -2.739 eV/atom. The value obtained for the mass density is 6.13 g cm⁻³. The calculation puts the formation energy at -223 meV/atom.

***

Compound: RbCdBiPb
Source: Alexandria via LeMat-Bulk
Functional: PBE-GGA
Structure: relaxed

a b c (Å): 5.821 5.821 5.821
angles (deg): 60.00 60.00 60.00
Fractional coordinates of all 4 atoms:
Pb (0.250, 0.250, 0.250)
Bi (0.500, 0.500, 0.500)
Rb (0.750, 0.750, 0.750)
Cd (0.000, 0.000, 0.000)

Output
The total energy is -2.411 eV/atom. The value obtained for the mass density is 7.31 g cm⁻³. The calculation puts the formation energy at -43 meV/atom.